1.
Compound: PrTlP2O8
Source: Alexandria via LeMat-Bulk
Functional: PBE
Structure: relaxed

Geometry as CIF:
```
data_PrTlP2O8
_cell_length_a 5.1521
_cell_length_b 5.1521
_cell_length_c 7.3702
_cell_angle_alpha 90.00
_cell_angle_beta 90.00
_cell_angle_gamma 120.00
_symmetry_space_group_name_H-M 'P -3'
_symmetry_Int_Tables_number 147
_symmetry_space_group_name_Hall '-P 3'
loop_
_atom_site_label
_atom_site_type_symbol
_atom_site_fract_x
_atom_site_fract_y
_atom_site_fract_z
Pr1 Pr 0.0000 0.0000 0.0000
Tl1 Tl 0.0000 0.0000 0.5000
P1 P 0.3333 0.6667 0.7836
O1 O 0.1097 0.3421 0.7204
O2 O 0.3333 0.6667 0.9924
```

* formation energy without anion corrections: -50.81 kcal/mol of atoms
* mass density: 5.25 Mg/m³


2.
Compound: PrTmP2O8
Source: Alexandria via LeMat-Bulk
Functional: PBE
Structure: relaxed

Geometry as CIF:
```
data_PrTmP2O8
_cell_length_a 5.2586
_cell_length_b 5.2586
_cell_length_c 7.1299
_cell_angle_alpha 90.00
_cell_angle_beta 90.00
_cell_angle_gamma 120.00
_symmetry_space_group_name_H-M 'P -3 m 1'
_symmetry_Int_Tables_number 164
_symmetry_space_group_name_Hall '-P 3 2"'
loop_
_atom_site_label
_atom_site_type_symbol
_atom_site_fract_x
_atom_site_fract_y
_atom_site_fract_z
Pr1 Pr 0.0000 0.0000 0.0000
Tm1 Tm 0.0000 0.0000 0.5000
P1 P 0.3333 0.6667 0.7893
O1 O 0.1731 0.3461 0.7151
O2 O 0.3333 0.6667 0.0040
```

* formation energy without anion corrections: -67.43 kcal/mol of atoms
* mass density: 4.86 Mg/m³


3.
Compound: Pr2ZnP2O
Source: Alexandria via LeMat-Bulk
Functional: PBE
Structure: relaxed

Geometry as CIF:
```
data_Pr2ZnP2O
_cell_length_a 3.385
_cell_length_b 3.385
_cell_length_c 14.617
_cell_angle_alpha 90.00
_cell_angle_beta 90.00
_cell_angle_gamma 90.00
_symmetry_space_group_name_H-M 'P 4/m m m'
_symmetry_Int_Tables_number 123
_symmetry_space_group_name_Hall '-P 4 2'
loop_
_atom_site_label
_atom_site_type_symbol
_atom_site_fract_x
_atom_site_fract_y
_atom_site_fract_z
Pr1 Pr 0.000 0.000 0.146
Zn1 Zn 0.000 0.000 0.500
P1 P 0.000 0.000 0.347
O1 O 0.000 0.000 0.000
```

* formation energy without anion corrections: -3.74 kcal/mol of atoms
* mass density: 4.22 Mg/m³


4.
Compound: PrZnPO
Source: Alexandria via LeMat-Bulk
Functional: PBE
Structure: relaxed

Geometry as CIF:
```
data_PrZnPO
_cell_length_a 4.0260
_cell_length_b 4.0260
_cell_length_c 31.3839
_cell_angle_alpha 90.00
_cell_angle_beta 90.00
_cell_angle_gamma 120.00
_symmetry_space_group_name_H-M 'R -3 m'
_symmetry_Int_Tables_number 166
_symmetry_space_group_name_Hall '-R 3 2"'
loop_
_atom_site_label
_atom_site_type_symbol
_atom_site_fract_x
_atom_site_fract_y
_atom_site_fract_z
Pr1 Pr 0.0000 0.0000 0.1184
Zn1 Zn 0.0000 0.0000 0.3040
P1 P 0.0000 0.0000 0.3853
O1 O 0.0000 0.0000 0.1950
```

* formation energy without anion corrections: -41.48 kcal/mol of atoms
* mass density: 5.73 Mg/m³


5.
Compound: PrZr6P9O36
Source: Alexandria via LeMat-Bulk
Functional: PBE
Structure: relaxed

Geometry as CIF:
```
data_PrZr6P9O36
_cell_length_a 8.9417
_cell_length_b 8.9417
_cell_length_c 23.2714
_cell_angle_alpha 90.00
_cell_angle_beta 90.00
_cell_angle_gamma 120.00
_symmetry_space_group_name_H-M 'P -3 c 1'
_symmetry_Int_Tables_number 165
_symmetry_space_group_name_Hall '-P 3 2"c'
loop_
_atom_site_label
_atom_site_type_symbol
_atom_site_fract_x
_atom_site_fract_y
_atom_site_fract_z
Pr1 Pr 0.0000 0.0000 0.0000
Zr1 Zr 0.0000 0.0000 0.1504
Zr2 Zr 0.3333 0.6667 0.0279
Zr3 Zr 0.3333 0.6667 0.3126
P1 P 0.0000 0.2910 0.2500
P2 P 0.0543 0.3762 0.9204
O1 O 0.0173 0.1834 0.9180
O2 O 0.0334 0.2054 0.1969
O3 O 0.1203 0.4904 0.5748
O4 O 0.1474 0.4710 0.8658
O5 O 0.1587 0.4670 0.2608
O6 O 0.1649 0.4545 0.9747
```

* formation energy without anion corrections: -63.58 kcal/mol of atoms
* mass density: 3.18 Mg/m³


6.
Compound: PPtO3
Source: Alexandria via LeMat-Bulk
Functional: PBE
Structure: relaxed

Geometry as CIF:
```
data_PPtO3
_cell_length_a 3.620
_cell_length_b 3.620
_cell_length_c 3.620
_cell_angle_alpha 90.00
_cell_angle_beta 90.00
_cell_angle_gamma 90.00
_symmetry_space_group_name_H-M 'P m -3 m'
_symmetry_Int_Tables_number 221
_symmetry_space_group_name_Hall '-P 4 2 3'
loop_
_atom_site_label
_atom_site_type_symbol
_atom_site_fract_x
_atom_site_fract_y
_atom_site_fract_z
P1 P 0.000 0.000 0.000
Pt1 Pt 0.500 0.500 0.500
O1 O 0.000 0.000 0.500
```

* formation energy without anion corrections: -0.64 kcal/mol of atoms
* mass density: 9.59 Mg/m³